# Na3VP2O9 | the Alexandria database | PBE with a Hubbard U | optimized geometry
# **Energy**: -197.14 eV/cell
# **Space group**: C2/m (12)
# **Calculated volume**: 13.87 Å³ per atom
# **Density**: 2.6 g/cm3
data_Na3VP2O9
_chemical_formula_sum 'Na6 V2 P4 O18'
_cell_length_a 8.709
_cell_length_b 8.709
_cell_length_c 7.497
_cell_angle_alpha 93.11
_cell_angle_beta 93.11
_cell_angle_gamma 47.15
_space_group_name_H-M_alt 'P 1'
_space_group_IT_number 1
_space_group_name_Hall 'P 1'
loop_
_atom_site_label
_atom_site_type_symbol
_atom_site_fract_x
_atom_site_fract_y
_atom_site_fract_z
Na1 Na 0.000 0.500 0.500
Na2 Na 0.224 0.776 0.000
Na3 Na 0.395 0.395 0.309
Na4 Na 0.500 0.000 0.500
Na5 Na 0.605 0.605 0.691
Na6 Na 0.776 0.224 0.000
V1 V 0.000 0.500 0.000
V2 V 0.500 0.000 0.000
P1 P 0.131 0.131 0.716
P2 P 0.382 0.382 0.775
P3 P 0.618 0.618 0.225
P4 P 0.869 0.869 0.284
O1 O 0.004 0.631 0.211
O2 O 0.047 0.047 0.799
O3 O 0.139 0.139 0.517
O4 O 0.169 0.532 0.882
O5 O 0.243 0.243 0.077
O6 O 0.342 0.342 0.585
O7 O 0.369 0.996 0.789
O8 O 0.468 0.831 0.118
O9 O 0.477 0.477 0.793
O10 O 0.523 0.523 0.207
O11 O 0.532 0.169 0.882
O12 O 0.631 0.004 0.211
O13 O 0.658 0.658 0.415
O14 O 0.757 0.757 0.923
O15 O 0.831 0.468 0.118
O16 O 0.861 0.861 0.483
O17 O 0.953 0.953 0.201
O18 O 0.996 0.369 0.789